[1]
DFT (GGA-PBE) results for crystalline NbAlSN2 at its relaxed geometry.

Cell: 3.703 3.703 4.625 Å, 90.00 90.00 90.00°
Positions (direct):
Nb 0.500 0.500 0.500
N 0.000 0.500 0.000
N 0.500 0.000 0.000
S 0.000 0.000 0.500
Al 0.000 0.000 0.000

Summary:
total magnetization	0.0	μB per cell
calculated volume	63	Å³/cell
polymorph energy (0 for the lowest one)	152.3	meV per atom
space group	P4/mmm, No. 123

---

[2]
DFT (GGA-PBE) results for crystalline AlGaHg at its relaxed geometry.

Cell: 8.418 3.167 6.048 Å, 120.54 111.14 89.15°
Positions (direct):
Hg 0.173 0.583 0.826
Hg 0.172 0.582 0.326
Ga 0.533 0.814 0.555
Ga 0.811 0.351 0.095
Al 0.816 0.338 0.592
Al 0.529 0.830 0.062

Summary:
total magnetization	0.0	μB per cell
calculated volume	127	Å³/cell
space group	P1, No. 1
formation energy from the elements	0.116	eV/atom

---

[3]
DFT (GGA-PBE) results for crystalline AlCoH3 at its relaxed geometry.

Cell: 3.409 3.409 3.409 Å, 90.00 90.00 90.00°
Positions (direct):
H 0.000 0.500 0.000
H 0.000 0.000 0.500
H 0.500 0.000 0.000
Co 0.500 0.500 0.500
Al 0.000 0.000 0.000

Summary:
total magnetization	1.6	μB per cell
calculated volume	40	Å³/cell
space group	Pm-3m, No. 221
DFT total energy	-17.6	eV for the cell shown

---

[4]
DFT (GGA-PBE) results for crystalline GaCo2AgH at its relaxed geometry.

Cell: 3.748 3.748 3.940 Å, 90.00 90.00 90.00°
Positions (direct):
H 0.000 0.000 0.000
Co 0.000 0.500 0.000
Co 0.500 0.000 0.000
Ga 0.500 0.500 0.500
Ag 0.000 0.000 0.500

Summary:
total magnetization	1.6	μB per cell
calculated volume	55	Å³/cell
space group	P4/mmm, No. 123
DFT total energy	-22.6	eV for the cell shown

---

[5]
DFT (GGA-PBE) results for crystalline TaAlO3 at its relaxed geometry.

Cell: 3.995 3.995 3.995 Å, 90.00 90.00 90.00°
Positions (direct):
Al 0.500 0.500 0.500
O 0.000 0.500 0.000
O 0.000 0.000 0.500
O 0.500 0.000 0.000
Ta 0.000 0.000 0.000

Summary:
total magnetization	0.0	μB per cell
calculated volume	64	Å³/cell
space group	Pm-3m, No. 221
DFT total energy	-40.3	eV for the cell shown

---

[6]
DFT (GGA-PBE) results for crystalline LiCaNiSb at its relaxed geometry.

Cell: 4.656 4.656 4.656 Å, 60.00 60.00 60.00°
Positions (direct):
Sb 0.500 0.500 0.500
Ca 0.000 0.000 0.000
Li 0.750 0.750 0.750
Ni 0.250 0.250 0.250

Summary:
total magnetization	0.0	μB per cell
calculated volume	71	Å³/cell
space group	F-43m, No. 216
DFT total energy	-15.8	eV for the cell shown

---

[7]
DFT (GGA-PBE) results for crystalline PrTa3O9 at its relaxed geometry.

Cell: 7.634 5.473 8.312 Å, 87.56 90.00 90.00°
Positions (direct):
Pr 0.250 0.966 0.434
Pr 0.750 0.034 0.566
Ta 0.493 0.527 0.698
Ta 0.007 0.527 0.698
Ta 0.993 0.473 0.302
Ta 0.000 0.000 0.000
Ta 0.507 0.473 0.302
Ta 0.500 0.000 0.000
O 0.955 0.684 0.124
O 0.045 0.316 0.876
O 0.055 0.157 0.212
O 0.750 0.356 0.338
O 0.037 0.266 0.532
O 0.445 0.157 0.212
O 0.545 0.684 0.124
O 0.537 0.734 0.468
O 0.750 0.080 0.016
O 0.945 0.843 0.788
O 0.750 0.443 0.686
O 0.555 0.843 0.788
O 0.250 0.557 0.314
O 0.455 0.316 0.876
O 0.963 0.734 0.468
O 0.463 0.266 0.532
O 0.250 0.644 0.662
O 0.250 0.920 0.984

Summary:
total magnetization	0.0	μB per cell
calculated volume	347	Å³/cell
space group	P2_1/m, No. 11
DFT total energy	-248.5	eV for the cell shown

---

[8]
DFT (GGA-PBE) results for crystalline HfBeAg at its relaxed geometry.

Cell: 4.542 3.075 7.267 Å, 90.00 107.95 90.00°
Positions (direct):
Be 0.440 0.250 0.388
Be 0.560 0.750 0.612
Hf 0.089 0.250 0.675
Hf 0.911 0.750 0.325
Ag 0.714 0.250 0.928
Ag 0.286 0.750 0.072

Summary:
total magnetization	0.0	μB per cell
calculated volume	97	Å³/cell
polymorph energy (0 for the lowest one)	186.5	meV per atom
space group	P2_1/m, No. 11
formation energy from the elements	0.034	eV/atom

---

What did the seventh record say?
DFT (GGA-PBE) results for crystalline PrTa3O9 at its relaxed geometry.

Cell: 7.634 5.473 8.312 Å, 87.56 90.00 90.00°
Positions (direct):
Pr 0.250 0.966 0.434
Pr 0.750 0.034 0.566
Ta 0.493 0.527 0.698
Ta 0.007 0.527 0.698
Ta 0.993 0.473 0.302
Ta 0.000 0.000 0.000
Ta 0.507 0.473 0.302
Ta 0.500 0.000 0.000
O 0.955 0.684 0.124
O 0.045 0.316 0.876
O 0.055 0.157 0.212
O 0.750 0.356 0.338
O 0.037 0.266 0.532
O 0.445 0.157 0.212
O 0.545 0.684 0.124
O 0.537 0.734 0.468
O 0.750 0.080 0.016
O 0.945 0.843 0.788
O 0.750 0.443 0.686
O 0.555 0.843 0.788
O 0.250 0.557 0.314
O 0.455 0.316 0.876
O 0.963 0.734 0.468
O 0.463 0.266 0.532
O 0.250 0.644 0.662
O 0.250 0.920 0.984

Summary:
total magnetization	0.0	μB per cell
calculated volume	347	Å³/cell
space group	P2_1/m, No. 11
DFT total energy	-248.5	eV for the cell shown

---

> Number 4 is which compound?

GaCo2AgH

---

> Which formula does entry 5 have?

TaAlO3